Entry 1:
{"formula": "LiHBrO", "functional": "GGA-PBE", "state": "optimized geometry", "e_tot_ev_per_cell": -16.11, "m_tot_mub_per_fu": 0.18, "lattice_angstrom": [[2.702, 0.000, 0.000], [-0.012, 3.186, 0.000], [-1.300, -0.745, 6.861]], "species": ["Li", "H", "Br", "O"], "frac_coords": [[0.000, 0.000, 0.000], [0.406, 0.449, 0.808], [0.203, 0.097, 0.425], [0.476, 0.490, 0.950]]}

=====

Entry 2:
{"formula": "CeZnNi4Ge2", "functional": "GGA-PBE", "state": "optimized geometry", "formation_enthalpy_0k_mev_per_atom": -391, "m_tot_mub_per_fu": 0.00, "lattice_angstrom": [[2.029, 1.171, 8.250], [-2.029, 1.171, 8.250], [0.000, -2.343, 8.250]], "species": ["Ce", "Zn", "Ni", "Ni", "Ni", "Ni", "Ge", "Ge"], "frac_coords": [[0.000, 0.000, 0.000], [0.500, 0.500, 0.500], [0.133, 0.133, 0.133], [0.404, 0.404, 0.404], [0.596, 0.596, 0.596], [0.867, 0.867, 0.867], [0.242, 0.242, 0.242], [0.758, 0.758, 0.758]]}

=====

Entry 3:
{"formula": "Na2ZnSn2", "functional": "GGA-PBE", "state": "optimized geometry", "formation_enthalpy_0k_mev_per_atom": -126, "m_tot_mub_per_fu": 0.00, "lattice_angstrom": [[5.674, -2.301, 0.000], [5.674, 2.301, 0.000], [-5.279, 0.000, 10.210]], "species": ["Na", "Na", "Na", "Na", "Zn", "Zn", "Sn", "Sn", "Sn", "Sn"], "frac_coords": [[0.011, 0.011, 0.180], [0.190, 0.190, 0.613], [0.810, 0.810, 0.387], [0.989, 0.989, 0.820], [0.294, 0.294, 0.164], [0.706, 0.706, 0.836], [0.350, 0.350, 0.944], [0.473, 0.473, 0.610], [0.527, 0.527, 0.390], [0.650, 0.650, 0.056]]}

=====

Entry 4:
{"formula": "Sr3Se", "functional": "GGA-PBE", "state": "optimized geometry", "e_tot_ev_per_cell": -21.11, "m_tot_mub_per_fu": 0.00, "lattice_angstrom": [[4.987, 0.000, 0.000], [0.000, 4.987, 0.000], [0.000, 0.000, 12.714]], "species": ["Sr", "Sr", "Sr", "Sr", "Sr", "Sr", "Se", "Se"], "frac_coords": [[0.000, 0.000, 0.000], [0.000, 0.500, 0.250], [0.000, 0.500, 0.750], [0.500, 0.000, 0.250], [0.500, 0.000, 0.750], [0.500, 0.500, 0.500], [0.000, 0.000, 0.500], [0.500, 0.500, 0.000]]}

=====

Entry 5:
{"formula": "LiSbTe2", "functional": "GGA-PBE", "state": "optimized geometry", "e_tot_ev_per_cell": -54.22, "m_tot_mub_per_fu": 0.00, "lattice_angstrom": [[6.529, 0.000, 0.000], [0.000, 6.529, 0.000], [0.000, 0.000, 13.984]], "species": ["Li", "Li", "Li", "Li", "Sb", "Sb", "Sb", "Sb", "Te", "Te", "Te", "Te", "Te", "Te", "Te", "Te"], "frac_coords": [[0.000, 0.000, 0.000], [0.000, 0.500, 0.250], [0.500, 0.000, 0.750], [0.500, 0.500, 0.500], [0.000, 0.000, 0.500], [0.000, 0.500, 0.750], [0.500, 0.000, 0.250], [0.500, 0.500, 0.000], [0.225, 0.250, 0.125], [0.250, 0.725, 0.375], [0.250, 0.775, 0.875], [0.275, 0.250, 0.625], [0.725, 0.750, 0.625], [0.750, 0.225, 0.875], [0.750, 0.275, 0.375], [0.775, 0.750, 0.125]]}

=====

Entry 6:
{"formula": "MnCu5", "functional": "GGA-PBE", "state": "optimized geometry", "formation_enthalpy_0k_mev_per_atom": 81, "m_tot_mub_per_fu": 3.75, "lattice_angstrom": [[9.572, 0.000, 0.000], [0.000, 2.597, 0.000], [-1.719, 0.000, 5.948]], "species": ["Mn", "Mn", "Cu", "Cu", "Cu", "Cu", "Cu", "Cu", "Cu", "Cu", "Cu", "Cu"], "frac_coords": [[0.000, 0.000, 0.000], [0.500, 0.500, 0.000], [0.119, 0.500, 0.727], [0.170, 0.500, 0.338], [0.280, 0.000, 0.065], [0.337, 0.000, 0.665], [0.450, 0.500, 0.395], [0.619, 0.000, 0.727], [0.670, 0.000, 0.338], [0.780, 0.500, 0.065], [0.837, 0.500, 0.665], [0.950, 0.000, 0.395]]}

=====

Entry 7:
{"formula": "PmAlOsO6", "functional": "GGA-PBE", "state": "optimized geometry", "e_tot_ev_per_cell": -69.44, "m_tot_mub_per_fu": 2.00, "lattice_angstrom": [[5.088, 0.000, 0.000], [-2.544, 4.406, 0.000], [0.000, 0.000, 5.064]], "species": ["Pm", "Al", "Os", "O", "O", "O", "O", "O", "O"], "frac_coords": [[0.000, 0.000, 0.000], [0.333, 0.667, 0.500], [0.667, 0.333, 0.500], [0.003, 0.370, 0.709], [0.003, 0.633, 0.291], [0.367, 0.370, 0.291], [0.367, 0.997, 0.709], [0.630, 0.633, 0.709], [0.630, 0.997, 0.291]]}

=====

Entry 8:
{"formula": "Nb3SnP", "functional": "GGA-PBE", "state": "optimized geometry", "formation_enthalpy_0k_mev_per_atom": -210, "m_tot_mub_per_fu": 0.00, "lattice_angstrom": [[4.966, -2.446, 0.000], [4.966, 2.446, 0.000], [-0.087, 0.000, 7.748]], "species": ["Nb", "Nb", "Nb", "Nb", "Nb", "Nb", "Sn", "Sn", "P", "P"], "frac_coords": [[0.074, 0.074, 0.162], [0.155, 0.155, 0.529], [0.362, 0.362, 0.069], [0.638, 0.638, 0.931], [0.845, 0.845, 0.471], [0.926, 0.926, 0.838], [0.428, 0.428, 0.661], [0.572, 0.572, 0.339], [0.173, 0.173, 0.853], [0.827, 0.827, 0.147]]}

=====

Entry 9:
{"formula": "LiTiBi2Sb", "functional": "GGA-PBE", "state": "optimized geometry", "e_tot_ev_per_cell": -19.07, "m_tot_mub_per_fu": 0.07, "lattice_angstrom": [[5.107, 0.000, 0.000], [0.000, 5.107, 0.000], [0.000, 0.000, 4.983]], "species": ["Li", "Ti", "Bi", "Bi", "Sb"], "frac_coords": [[0.000, 0.000, 0.000], [0.500, 0.500, 0.500], [0.000, 0.500, 0.000], [0.500, 0.000, 0.000], [0.000, 0.000, 0.500]]}

=====

Entry 10:
{"formula": "LaMnV3", "functional": "GGA-PBE", "state": "optimized geometry", "formation_enthalpy_0k_mev_per_atom": 1722, "m_tot_mub_per_fu": 4.17, "lattice_angstrom": [[4.564, 0.000, 0.000], [0.000, 4.564, 0.000], [0.000, 0.000, 4.564]], "species": ["La", "Mn", "V", "V", "V"], "frac_coords": [[0.000, 0.000, 0.000], [0.500, 0.500, 0.500], [0.000, 0.000, 0.500], [0.000, 0.500, 0.000], [0.500, 0.000, 0.000]]}

=====

Entry 11:
{"formula": "Sc2TlSn", "functional": "GGA-PBE", "state": "optimized geometry", "formation_enthalpy_0k_mev_per_atom": -60, "m_tot_mub_per_fu": 0.00, "lattice_angstrom": [[3.352, 0.000, 0.000], [-1.676, 2.903, 0.000], [0.000, 0.000, 32.521]], "species": ["Sc", "Sc", "Sc", "Sc", "Sc", "Sc", "Tl", "Tl", "Tl", "Sn", "Sn", "Sn"], "frac_coords": [[0.000, 0.000, 0.093], [0.000, 0.000, 0.907], [0.333, 0.667, 0.574], [0.333, 0.667, 0.759], [0.667, 0.333, 0.241], [0.667, 0.333, 0.426], [0.000, 0.000, 0.000], [0.333, 0.667, 0.667], [0.667, 0.333, 0.333], [0.000, 0.000, 0.500], [0.333, 0.667, 0.167], [0.667, 0.333, 0.833]]}

=====

Entry 12:
{"formula": "CdInP2", "functional": "GGA-PBE", "state": "optimized geometry", "formation_enthalpy_0k_mev_per_atom": 62, "m_tot_mub_per_fu": 0.00, "lattice_angstrom": [[7.814, 0.000, 0.000], [0.000, 3.266, 0.000], [-2.227, 0.000, 6.931]], "species": ["Cd", "Cd", "In", "In", "P", "P", "P", "P"], "frac_coords": [[0.000, 0.000, 0.000], [0.500, 0.500, 0.000], [0.186, 0.000, 0.698], [0.686, 0.500, 0.698], [0.298, 0.500, 0.232], [0.382, 0.000, 0.447], [0.798, 0.000, 0.232], [0.882, 0.500, 0.447]]}